# 1
! Cr3P4O14 PBE+U relaxed; values from VASP
! * total magnetization: 0.48 μB/atom
! * symmetry: P-1 (2)
! * crystal system: triclinic
! * excess energy over the best structure of this formula in the dataset: 0 meV per atom
&SYSTEM
  ibrav = 0, nat = 42, ntyp = 3
/
ATOMIC_SPECIES
P 30.97 P.upf
O 16.00 O.upf
Cr 52.00 Cr.upf
ATOMIC_POSITIONS angstrom
P 1.359 5.735 8.377
O 1.551 5.724 12.462
O 4.147 6.593 0.497
P 3.793 2.393 4.506
Cr 0.024 0.045 6.445
O 4.351 0.934 4.661
O 4.726 2.334 10.206
O 3.600 2.404 0.421
Cr 1.138 0.089 3.439
O 3.357 0.784 7.549
O 1.120 1.701 6.863
O 2.028 0.897 10.216
Cr 1.539 4.116 3.067
O 2.122 3.326 11.071
O 0.330 0.960 1.837
O 2.493 5.046 4.529
P 0.216 2.023 0.798
O 2.575 5.715 9.314
O 3.029 4.802 1.812
O 1.051 3.314 1.192
P 3.881 6.121 2.013
O 4.100 4.814 11.691
O 0.801 7.194 8.222
O 2.659 3.082 8.354
O 4.821 7.168 11.046
Cr 4.013 8.038 9.444
O 4.865 3.388 4.148
Cr 2.551 4.019 -0.003
O 0.286 4.740 8.735
Cr 3.612 4.012 9.816
P 2.612 6.045 5.651
O 1.794 7.344 5.334
O 4.031 6.427 6.020
O 1.863 5.357 6.893
O 1.004 1.534 12.386
O 0.425 5.794 2.677
P 2.540 2.083 7.232
P 1.270 2.006 10.870
O 3.123 7.231 2.667
O 2.576 2.412 3.569
P 4.935 6.105 12.085
O 3.288 2.771 5.990
CELL_PARAMETERS angstrom
4.800 0.000 -0.003
0.302 8.038 -0.004
0.049 0.090 12.890



# 2
! Cr3P4O16 PBE+U relaxed; values from VASP
! * total energy: -7.236 eV per atom
! * total magnetization: 0.26 μB/atom
! * N(E_F): 0.367 states/eV per atom
! * symmetry: C2/c (15)
! * crystal system: monoclinic
&SYSTEM
  ibrav = 0, nat = 46, ntyp = 3
/
ATOMIC_SPECIES
Cr 52.00 Cr.upf
O 16.00 O.upf
P 30.97 P.upf
ATOMIC_POSITIONS angstrom
Cr -1.680 -4.556 2.121
O -9.860 -0.524 4.192
O -7.421 0.780 3.834
O -4.352 -1.695 7.572
O -7.411 0.224 1.197
P -9.242 -2.002 4.343
O -9.618 1.711 2.277
O -4.589 -4.029 6.658
O -9.779 2.312 4.724
O -10.067 -0.765 1.324
P -1.918 -6.608 4.569
O -2.139 -3.281 3.662
O -6.621 -2.798 7.481
O -8.230 -1.883 3.097
Cr -4.189 -0.439 6.107
O -5.379 -1.007 0.374
O -2.220 -6.117 3.130
Cr -8.739 0.039 2.554
O -9.410 4.111 2.905
Cr -3.260 -3.845 5.301
P -4.913 -4.648 2.546
O -1.932 -3.040 6.530
O -4.957 -3.685 9.107
O -6.678 -0.138 8.499
O -2.981 -2.340 -0.477
O -9.019 -1.465 8.332
O -5.787 -3.376 2.089
O -2.590 -7.916 4.949
O -4.578 -4.585 4.020
P -10.081 2.803 3.286
Cr -4.410 -2.606 0.758
O -7.648 -2.110 0.282
O -2.382 -5.516 5.577
O -8.351 0.520 6.250
O -8.491 -2.196 5.641
O -3.770 -1.922 4.758
O -6.213 -0.429 5.765
P -6.895 -0.766 0.114
P -5.105 -3.039 7.740
O -3.509 -1.609 2.213
O -7.043 -0.120 -1.252
P -7.086 0.843 5.308
P -2.758 -1.803 3.512
O -5.321 -3.667 -0.645
O -3.649 -4.325 1.604
Cr -7.590 -1.199 7.096
CELL_PARAMETERS angstrom
-3.621 -2.927 -4.360
0.261 -6.185 8.601
-8.640 5.307 3.613



# 3
! CrP3O9 PBE+U relaxed; values from VASP
! * total magnetization: 0.23 μB/atom
! * N(E_F): 0.000 states/eV per atom
! * symmetry: Cc (9)
! * crystal system: monoclinic
! * excess energy over the best structure of this formula in the dataset: 16 meV per atom
&SYSTEM
  ibrav = 0, nat = 78, ntyp = 3
/
ATOMIC_SPECIES
O 16.00 O.upf
P 30.97 P.upf
Cr 52.00 Cr.upf
ATOMIC_POSITIONS angstrom
O -1.004 -0.160 8.977
O 5.050 6.016 0.566
O 1.213 8.927 0.020
O 6.310 0.415 3.146
O 6.381 6.114 3.107
O -0.636 1.690 3.634
O 3.594 -2.471 8.476
O 4.160 1.693 2.834
O 0.465 8.307 3.437
O -1.413 7.011 6.032
O 7.187 3.380 2.770
P 3.324 3.243 9.058
O -3.710 0.684 9.099
P -0.720 6.207 0.531
O 5.171 -1.104 7.039
Cr -2.665 -0.624 7.967
O 0.023 6.353 1.935
O 3.052 -2.112 6.042
O 0.664 5.634 6.371
P 1.627 2.165 0.370
O -1.255 -2.438 4.431
O 4.123 -0.451 4.120
O 3.066 2.206 7.855
O 4.490 6.994 4.601
P 1.891 1.781 6.842
O 0.801 1.032 7.731
O -0.749 -0.340 2.125
P 3.409 3.086 2.650
P 0.057 0.886 9.134
O 3.346 4.870 5.546
O -3.646 2.968 7.089
O 3.412 9.718 1.030
O 2.289 7.527 1.810
O 1.243 2.985 6.228
Cr 1.480 4.498 4.926
O 2.274 3.209 3.624
P -3.071 2.030 6.079
Cr 6.882 -0.637 1.543
O -1.572 -1.953 6.896
O 5.268 1.673 5.064
O -3.044 -2.079 9.252
O 1.441 0.313 3.295
P -0.544 -2.201 5.835
O 7.756 5.172 0.688
P -1.322 3.120 3.830
O -2.033 2.884 5.234
Cr -3.433 4.672 8.123
O -4.005 5.725 6.520
O -1.802 -4.346 9.319
P 5.689 7.362 3.587
P 0.167 0.739 2.633
O 8.139 7.667 0.422
P 2.405 -3.156 9.296
O 0.485 -1.133 5.610
O 2.512 0.752 5.949
O 1.295 -3.564 8.218
O -0.292 4.188 4.056
O -0.620 2.335 9.244
O 5.716 3.254 0.414
O 4.394 4.217 2.626
P 4.187 -2.235 7.016
O 2.816 2.850 1.189
O 6.958 0.986 0.347
P 1.113 7.102 2.824
O 4.937 -3.628 6.832
P 2.546 8.564 0.607
P -0.611 6.060 7.033
O -2.379 0.782 6.559
P 4.987 0.729 3.790
O 5.113 8.300 2.576
Cr 6.095 4.708 1.699
O 0.517 1.757 1.447
O 1.735 6.074 3.716
P 4.210 6.051 5.876
Cr 2.258 -0.823 4.739
O 4.190 4.397 8.635
O 1.990 3.606 9.645
O -1.526 4.982 7.540
CELL_PARAMETERS angstrom
9.537 0.011 0.000
-1.555 10.642 0.000
-3.991 -5.327 9.666



Question: Which of these has the highest total magnetization?
Answer: Cr3P4O14



Question: The highest total magnetization belongs to which entry?
Answer: Cr3P4O14



Question: Among the records above, which one has the highest total magnetization?
Answer: Cr3P4O14



Question: Number 3 is which compound?
Answer: CrP3O9